No. 1
DFT (PBE) results for La4Sb2PBr after structural relaxation.

Properties
Its space-group type is P2/m, No. 10. The total magnetization is 0.00 μB/f.u. The uncorrected energy comes out at -5.7826 eV per atom. Its uncorrected formation energy is -11.224 eV per formula unit.

Cell: 7.669 4.485 7.805 Å, 90.00 109.52 90.00°
Atoms (fractional coordinates):
La1 0.233 0.000 0.230
La2 0.243 0.500 0.765
La3 0.757 0.500 0.235
La4 0.767 0.000 0.770
Sb1 0.500 0.000 0.000
Sb2 0.500 0.500 0.500
P1 0.000 0.500 0.000
Br1 0.000 0.000 0.500

---

No. 2
DFT (PBE) results for GdPuPa2 after structural relaxation.

Properties
Its energy relative to the elements is 0.197 eV per atom. Its space-group type is P4/mmm, No. 123. The total magnetization is 12.01 μB/f.u. The uncorrected energy comes out at -11.6546 eV per atom.

Cell: 4.626 4.626 4.778 Å, 90.00 90.00 90.00°
Atoms (fractional coordinates):
Gd1 0.000 0.000 0.000
Pu1 0.500 0.500 0.000
Pa1 0.000 0.500 0.500
Pa2 0.500 0.000 0.500

---

No. 3
DFT (PBE) results for K4YSi after structural relaxation.

Properties
Its space-group type is F-43m, No. 216. The total magnetization is 0.00 μB/f.u. The uncorrected energy comes out at -1.9297 eV per atom. Its uncorrected formation energy is 4.699 eV per formula unit.

Cell: 7.088 7.088 7.088 Å, 60.00 60.00 60.00°
Atoms (fractional coordinates):
K1 0.123 0.123 0.123
K2 0.123 0.123 0.632
K3 0.123 0.632 0.123
K4 0.632 0.123 0.123
Y1 0.500 0.500 0.500
Si1 0.750 0.750 0.750

---

No. 4
DFT (PBE) results for ScCr2Sb after structural relaxation.

Properties
Its space-group type is C2/m, No. 12. The total magnetization is 6.06 μB/f.u. The uncorrected energy comes out at -7.0556 eV per atom. Its uncorrected formation energy is 1.478 eV per formula unit.

Cell: 5.838 9.333 3.064 Å, 90.00 116.44 90.00°
Atoms (fractional coordinates):
Sc1 0.000 0.000 0.000
Sc2 0.500 0.500 0.000
Cr1 0.250 0.250 0.500
Cr2 0.250 0.750 0.500
Cr3 0.750 0.250 0.500
Cr4 0.750 0.750 0.500
Sb1 0.000 0.500 0.000
Sb2 0.500 0.000 0.000

---

No. 5
DFT (PBE) results for Al2CdW after structural relaxation.

Properties
Its energy relative to the elements is 0.166 eV per atom. Its space-group type is I4/mmm, No. 139. The total magnetization is 0.00 μB/f.u. The uncorrected energy comes out at -5.1721 eV per atom.

Cell: 3.973 3.973 8.417 Å, 90.00 90.00 90.00°
Atoms (fractional coordinates):
Al1 0.000 0.500 0.250
Al2 0.000 0.500 0.750
Al3 0.500 0.000 0.250
Al4 0.500 0.000 0.750
Cd1 0.000 0.000 0.000
Cd2 0.500 0.500 0.500
W1 0.000 0.000 0.500
W2 0.500 0.500 0.000

---

No. 6
DFT (PBE) results for LiDyTe after structural relaxation.

Properties
Its space-group type is I4mm, No. 107. The total magnetization is 0.00 μB/f.u. The uncorrected energy comes out at -3.8620 eV per atom. Its uncorrected formation energy is -1.928 eV per formula unit. The energy above the most stable polymorph in this dataset comes out at 216 meV per atom.

Cell: 3.785 3.785 10.321 Å, 90.00 90.00 90.00°
Atoms (fractional coordinates):
Li1 0.000 0.000 0.000
Li2 0.500 0.500 0.500
Dy1 0.000 0.000 0.300
Dy2 0.500 0.500 0.800
Te1 0.000 0.000 0.618
Te2 0.500 0.500 0.118